{
  "formula": "BaGe2PbAu5",
  "functional": "PBE",
  "state": "relaxed",
  "cell": [[-2.694, -4.034, -0.277], [3.773, -2.627, 1.570], [-2.995, 1.351, 9.457]],
  "species": ["Ba", "Ge", "Ge", "Pb", "Au", "Au", "Au", "Au", "Au"],
  "frac_coords": [[0.000, 0.000, 0.500], [0.500, 0.500, 0.253], [0.500, 0.500, 0.747], [0.000, 0.000, 0.000], [0.000, 0.500, 0.182], [0.500, 0.000, 0.182], [0.000, 0.500, 0.818], [0.500, 0.000, 0.818], [0.500, 0.500, 0.500]],
  "n_ef_per_ev_atom": 0.4902,
  "final_energy_ev_per_atom": -3.7126
}